1.
Y3HoTh2Sb6 (GGA-PBE, optimized geometry); total magnetic moment = 0.00 μB/cell; SG = No. 12; V = 30.707 Å³ per atom; energy relative to the elements, uncorrected = -1.08 eV/atom; N(E_F) = 0.3791 states/eV per atom
1.0
9.644 -2.219 0.000
9.644 2.219 0.000
-2.014 0.000 8.608
Y Ho Th Sb
3 1 2 6
direct
0.000 0.000 0.000 Y
0.333 0.333 0.666 Y
0.667 0.667 0.334 Y
0.000 0.000 0.500 Ho
0.335 0.335 0.169 Th
0.665 0.665 0.831 Th
0.165 0.165 0.088 Sb
0.166 0.166 0.577 Sb
0.497 0.497 0.747 Sb
0.503 0.503 0.253 Sb
0.834 0.834 0.423 Sb
0.835 0.835 0.912 Sb

---

2.
CoCu2Sb (GGA-PBE, optimized geometry); total magnetic moment = 1.14 μB/cell; SG = No. 123; V = 14.023 Å³ per atom; energy relative to the elements, uncorrected = 0.13 eV/atom; N(E_F) = 0.7165 states/eV per atom
1.0
3.756 0.000 0.000
0.000 3.756 0.000
0.000 0.000 3.977
Co Cu Sb
1 2 1
direct
0.000 0.000 0.000 Co
0.000 0.500 0.500 Cu
0.500 0.000 0.500 Cu
0.500 0.500 0.000 Sb

---

3.
GaCu3F (GGA-PBE, optimized geometry); total magnetic moment = 0.00 μB/cell; SG = No. 221; V = 14.360 Å³ per atom; energy relative to the elements, uncorrected = 0.07 eV/atom; N(E_F) = 0.3978 states/eV per atom
1.0
4.156 0.000 0.000
0.000 4.156 0.000
0.000 0.000 4.156
Ga Cu F
1 3 1
direct
0.000 0.000 0.000 Ga
0.000 0.500 0.500 Cu
0.500 0.000 0.500 Cu
0.500 0.500 0.000 Cu
0.500 0.500 0.500 F

---

Question: Among the records above, which one has the lowest V?
Answer: CoCu2Sb

---

Question: Which of these has the lowest N(E_F)?
Answer: Y3HoTh2Sb6

---

Question: Number 3 is which compound?
Answer: GaCu3F